A plane-wave DFT calculation with PBE was carried out for a geometry-optimized Ac2TmTeO8 structure.

The uncorrected formation energy is -2.40 eV/atom. For the total energy, the calculation gives -7.03 eV per atom.

It has space group P2/m (No. 10), with a = 5.3426 Å, b = 7.0840 Å, c = 5.3523 Å, α = 90.00°, β = 91.71° and γ = 90.00°. The inequivalent atoms are Ac at (0.0000, 0.2456, 0.0000), Tm at (0.5000, 0.5000, 0.5000), Te at (0.5000, 0.0000, 0.5000), O at (0.2072, 0.5000, 0.2088), O at (0.2403, 0.0000, 0.2429) and O at (0.3317, 0.2127, 0.6699).


A plane-wave DFT calculation with PBE was carried out for a geometry-optimized AcTmTeO2 structure.

The uncorrected formation energy is -2.94 eV/atom. For the total energy, the calculation gives -7.27 eV per atom.

It has space group P2_1/m (No. 11), with a = 7.1229 Å, b = 4.2338 Å, c = 8.0648 Å, α = 90.00°, β = 108.13° and γ = 90.00°. The inequivalent atoms are Ac at (0.1903, 0.2500, 0.4282), Tm at (0.1467, 0.2500, 0.9166), Te at (0.4518, 0.7500, 0.7686), O at (0.0118, 0.7500, 0.3633) and O at (0.0157, 0.7500, 0.8939).


A plane-wave DFT calculation with PBE was carried out for a geometry-optimized AcUTe2O structure.

The uncorrected formation energy is -1.75 eV/atom. For the total energy, the calculation gives -7.07 eV per atom.

It has space group P4/nmm (No. 129, origin choice 2), with a = 4.3595 Å, b = 4.3595 Å, c = 15.3298 Å, α = 90.00°, β = 90.00° and γ = 90.00°. The inequivalent atoms are Ac at (0.2500, 0.2500, 0.0803), U at (0.2500, 0.2500, 0.6024), Te at (0.2500, 0.2500, 0.3961), Te at (0.2500, 0.2500, 0.7944) and O at (0.2500, 0.7500, 0.0000).